No. 1
SrCuSb2Te: relaxed, GGA-PBE.

Geometry as CIF:
```
data_SrCuSb2Te
_symmetry_space_group_name_H-M 'P 4/m m m'
_symmetry_Int_Tables_number 123
_symmetry_space_group_name_Hall '-P 4 2'
_cell_length_a 6.0577
_cell_length_b 6.0577
_cell_length_c 5.9918
_cell_angle_alpha 90.00
_cell_angle_beta 90.00
_cell_angle_gamma 90.00
loop_
_atom_site_label
_atom_site_fract_x
_atom_site_fract_y
_atom_site_fract_z
Sr1 0.0000 0.0000 0.0000
Cu1 0.5000 0.5000 0.5000
Sb1 0.0000 0.5000 0.0000
Te1 0.0000 0.0000 0.5000
```

E_form (uncorrected): 0.9790 eV/atom


No. 2
SiMoAu2: relaxed, GGA-PBE.

Geometry as CIF:
```
data_SiMoAu2
_symmetry_space_group_name_H-M 'R 3 m'
_symmetry_Int_Tables_number 160
_symmetry_space_group_name_Hall 'R 3 -2"'
_cell_length_a 2.9176
_cell_length_b 2.9176
_cell_length_c 26.6793
_cell_angle_alpha 90.00
_cell_angle_beta 90.00
_cell_angle_gamma 120.00
loop_
_atom_site_label
_atom_site_fract_x
_atom_site_fract_y
_atom_site_fract_z
Si1 0.0000 0.0000 0.0000
Mo1 0.0000 0.0000 0.2579
Au1 0.0000 0.0000 0.5049
Au2 0.0000 0.0000 0.7443
```

E_form (uncorrected): 0.1445 eV/atom


No. 3
Pu4CdRuPt2: relaxed, GGA-PBE.

Geometry as CIF:
```
data_Pu4CdRuPt2
_symmetry_space_group_name_H-M 'R -3 m'
_symmetry_Int_Tables_number 166
_symmetry_space_group_name_Hall '-R 3 2"'
_cell_length_a 5.0895
_cell_length_b 5.0895
_cell_length_c 23.8080
_cell_angle_alpha 90.00
_cell_angle_beta 90.00
_cell_angle_gamma 120.00
loop_
_atom_site_label
_atom_site_fract_x
_atom_site_fract_y
_atom_site_fract_z
Pu1 0.0000 0.0000 0.1113
Pu2 0.0000 0.0000 0.3597
Cd1 0.0000 0.0000 0.5000
Ru1 0.0000 0.0000 0.0000
Pt1 0.0000 0.0000 0.2325
```

formation energy: -0.3796 eV/atom


Total magnetization: 0.000 0.002 21.446 (μB/f.u.)